## Li2ReMo (PBE)

Data for a relaxed structure of Li2ReMo.

abc: 5.2728 5.2728 2.5279
angles: 90.00 90.00 122.30
With the nearest neighbours (Å) after each atom.
Positions (direct):
Re1 0.0000 0.5000 0.5000  2 Re 2.53, 2 Mo 2.54
Mo1 0.5000 0.0000 0.5000  2 Mo 2.53, 2 Re 2.54
Li1 0.0000 0.0000 0.0000  4 Li 2.53-2.54
Li2 0.5000 0.5000 0.0000  4 Li 2.53-2.54

ΔE_f, eV per atom: 0.39
Energy relative to the lowest polymorph listed for this composition, eV/f.u.: 0.777

***

## LiReMo2 (PBE)

Data for a relaxed structure of LiReMo2.

abc: 2.6773 2.6773 9.1542
angles: 90.00 90.00 109.22
With the nearest neighbours (Å) after each atom.
Positions (direct):
Li1 0.5000 0.5000 0.7433  4 Li 2.68, 2 Re 2.75, 2 Mo 2.87
Re1 0.0000 0.0000 0.4951  4 Re 2.68, 2 Mo 2.70, 2 Li 2.75
Mo1 0.5000 0.5000 0.2538  6 Mo 2.68-2.73, 2 Re 2.70
Mo2 0.0000 0.0000 0.0077  6 Mo 2.68-2.73, 2 Li 2.87

ΔE_f, eV per atom: 0.22
Energy relative to the lowest polymorph listed for this composition, eV/f.u.: 0.046

***

## LiReMo2 (PBE)

Data for a relaxed structure of LiReMo2.

abc: 2.5649 4.3779 5.3741
angles: 90.00 90.00 90.00
With the nearest neighbours (Å) after each atom.
Positions (direct):
Mo1 0.5000 0.5000 0.2579  2 Mo 2.56, 2 Li 2.65-2.72, 4 Re 2.87
Mo2 0.0000 0.0000 0.9850  2 Mo 2.56, 2 Re 2.57-2.80, 4 Li 2.83
Re1 0.0000 0.0000 0.5060  2 Re 2.56, 6 Mo 2.57-2.87, 4 Li 2.86
Li1 0.5000 0.5000 0.7511  2 Li 2.56, 6 Mo 2.65-2.83, 4 Re 2.86

ΔE_f, eV per atom: 0.34
Energy relative to the lowest polymorph listed for this composition, eV/f.u.: 0.535

***

## LiReMo (PBE)

Data for a relaxed structure of LiReMo.

abc: 2.6461 4.4436 10.3742
angles: 115.36 119.79 90.00
With the nearest neighbours (Å) after each atom.
Positions (direct):
Re1 0.5592 0.0200 0.7700  3 Mo 2.60-2.67, 2 Re 2.65, 3 Li 2.88-2.89
Re2 0.4408 0.9800 0.2300  3 Mo 2.60-2.67, 2 Re 2.65, 3 Li 2.88-2.89
Mo1 0.5038 0.6551 0.9050  3 Re 2.60-2.67, 4 Mo 2.65-2.85, 1 Li 2.76
Mo2 0.4962 0.3449 0.0950  3 Re 2.60-2.67, 4 Mo 2.65-2.85, 1 Li 2.76
Li1 0.5299 0.3205 0.5705  4 Li 2.54-2.65, 1 Mo 2.76
Li2 0.4701 0.6795 0.4295  4 Li 2.54-2.65, 1 Mo 2.76

ΔE_f, eV per atom: 0.21
Energy relative to the lowest polymorph listed for this composition, eV/f.u.: 0.202

***

## LiReMo2 (PBE)

Data for a relaxed structure of LiReMo2.

abc: 2.5835 4.3458 5.3559
angles: 90.00 90.00 90.00
With the nearest neighbours (Å) after each atom.
Positions (direct):
Li1 0.5000 0.5000 0.7500  2 Li 2.58, 2 Re 2.68, 8 Mo 2.85
Mo1 0.0000 0.0000 0.9960  4 Mo 2.58-2.72, 4 Li 2.85, 4 Re 2.87
Mo2 0.0000 0.0000 0.5040  4 Mo 2.58-2.72, 4 Li 2.85, 4 Re 2.87
Re1 0.5000 0.5000 0.2500  2 Re 2.58, 2 Li 2.68, 8 Mo 2.87

ΔE_f, eV per atom: 0.33
Energy relative to the lowest polymorph listed for this composition, eV/f.u.: 0.490

***

## Li2ReMo (PBE)

Data for a relaxed structure of Li2ReMo.

abc: 2.5647 2.5647 9.5944
angles: 90.00 90.00 108.23
With the nearest neighbours (Å) after each atom.
Positions (direct):
Li1 0.0000 0.0000 0.5093  4 Li 2.56, 2 Re 2.76
Li2 0.0000 0.0000 0.9907  4 Li 2.56, 2 Re 2.76
Mo1 0.5000 0.5000 0.2500  4 Mo 2.56
Re1 0.5000 0.5000 0.7500  4 Re 2.56, 4 Li 2.76

ΔE_f, eV per atom: 0.35
Energy relative to the lowest polymorph listed for this composition, eV/f.u.: 0.613

***

## Li2ReMo (PBE)

Data for a relaxed structure of Li2ReMo.

abc: 4.1741 4.1741 4.1741
angles: 60.00 60.00 60.00
With the nearest neighbours (Å) after each atom.
Positions (direct):
Li1 0.7500 0.7500 0.7500  4 Mo 2.56, 4 Re 2.56
Li2 0.2500 0.2500 0.2500  4 Re 2.56, 4 Mo 2.56
Mo1 0.0000 0.0000 0.0000  8 Li 2.56
Re1 0.5000 0.5000 0.5000  8 Li 2.56

ΔE_f, eV per atom: 0.89
Energy relative to the lowest polymorph listed for this composition, eV/f.u.: 2.760

***

## Li2ReMo (PBE)

Data for a relaxed structure of Li2ReMo.

abc: 6.8637 6.8637 5.4317
angles: 50.82 50.82 90.00
With the nearest neighbours (Å) after each atom.
Positions (direct):
Re1 0.7500 0.2500 0.5000  2 Mo 2.44, 4 Li 2.49
Re2 0.0000 0.0000 0.0000  2 Mo 2.44, 4 Li 2.49
Li1 0.8750 0.8782 0.7500  2 Li 2.44, 2 Re 2.49, 2 Mo 2.52
Li2 0.1218 0.6250 0.2500  2 Li 2.44, 2 Re 2.49, 2 Mo 2.52
Li3 0.3750 0.3718 0.7500  2 Li 2.44, 2 Re 2.49, 2 Mo 2.52
Li4 0.6282 0.1250 0.2500  2 Li 2.44, 2 Re 2.49, 2 Mo 2.52
Mo1 0.2500 0.7500 0.5000  2 Re 2.44, 4 Li 2.52
Mo2 0.5000 0.5000 0.0000  2 Re 2.44, 4 Li 2.52

ΔE_f, eV per atom: 1.04
Energy relative to the lowest polymorph listed for this composition, eV/f.u.: 3.378

***

## Li4ReMo (PBE)

Data for a relaxed structure of Li4ReMo.

abc: 4.7385 4.7385 4.7385
angles: 60.00 60.00 60.00
With the nearest neighbours (Å) after each atom.
Positions (direct):
Li1 0.3742 0.8775 0.3742  6 Li 2.35-2.38
Li2 0.8775 0.3742 0.3742  6 Li 2.35-2.38
Li3 0.3742 0.3742 0.8775  6 Li 2.35-2.38
Li4 0.3742 0.3742 0.3742  6 Li 2.35-2.38
Re1 0.0000 0.0000 0.0000  12 Li 2.78, 4 Mo 2.90
Mo1 0.7500 0.7500 0.7500  12 Li 2.78, 4 Re 2.90

ΔE_f, eV per atom: 0.48

***

## LiReMo2 (PBE)

Data for a relaxed structure of LiReMo2.

abc: 5.1208 5.1208 5.1208
angles: 144.67 129.04 63.53
With the nearest neighbours (Å) after each atom.
Positions (direct):
Re1 0.7500 0.2500 0.5000  4 Mo 2.60, 4 Li 2.70
Mo1 0.9897 0.9897 0.0000  2 Re 2.60, 4 Mo 2.70, 2 Li 2.75
Mo2 0.5103 0.5103 0.0000  2 Re 2.60, 4 Mo 2.70, 2 Li 2.75
Li1 0.2500 0.7500 0.5000  4 Re 2.70, 4 Mo 2.75

ΔE_f, eV per atom: 0.31
Energy relative to the lowest polymorph listed for this composition, eV/f.u.: 0.412

***

## Li2Re2Mo (PBE)

Data for a relaxed structure of Li2Re2Mo.

abc: 3.0885 3.0885 8.0341
angles: 78.92 78.92 90.00
With the nearest neighbours (Å) after each atom.
Positions (direct):
Mo1 0.0000 0.0000 0.0000  8 Re 2.66
Li1 0.7500 0.2500 0.5000  4 Li 2.18
Li2 0.2500 0.7500 0.5000  4 Li 2.18
Re1 0.5985 0.5985 0.8031  4 Mo 2.66, 4 Li 2.81
Re2 0.4015 0.4015 0.1969  4 Mo 2.66, 4 Li 2.81

ΔE_f, eV per atom: 0.72
Energy relative to the lowest polymorph listed for this composition, eV/f.u.: 0.206

***

## LiReMo2 (PBE)

Data for a relaxed structure of LiReMo2.

abc: 9.6418 9.6418 9.6418
angles: 16.55 16.55 16.55
With the nearest neighbours (Å) after each atom.
Positions (direct):
Mo1 0.5049 0.5049 0.5049  3 Re 2.75, 6 Mo 2.78, 3 Li 2.98
Mo2 0.9951 0.9951 0.9951  3 Re 2.75, 6 Mo 2.78, 3 Li 2.98
Re1 0.2500 0.2500 0.2500  6 Mo 2.75, 6 Re 2.78
Li1 0.7500 0.7500 0.7500  6 Li 2.78, 6 Mo 2.98

ΔE_f, eV per atom: 0.33
Energy relative to the lowest polymorph listed for this composition, eV/f.u.: 0.496

***

In the order shown, the computed DOS at the Fermi energy values come out to 0.50 0.65 0.64 0.54 0.85 0.76 0.68 0.80 0.86 0.68 1.06 0.64 states/eV per atom.
In the order shown, the computed magnetic moment values come out to 0.00 0.00 0.00 0.00 0.00 0.00 0.00 0.04 0.00 0.00 0.00 0.00 μB/cell.